1.
Entry from Alexandria via LeMat-Bulk: a relaxed structure of Rb4La3ScTe8 (PBE).

Output
Formation energy without anion corrections ... -1.41 eV/atom

The structure in CIF format:
```
data_Rb4La3ScTe8
_chemical_formula_sum 'Rb12 La9 Sc3 Te24'
_cell_length_a 9.2980
_cell_length_b 9.2980
_cell_length_c 25.6108
_cell_angle_alpha 90.00
_cell_angle_beta 90.00
_cell_angle_gamma 120.00
_symmetry_space_group_name_H-M 'R -3 m'
_symmetry_Int_Tables_number 166
_symmetry_space_group_name_Hall '-R 3 2"'
loop_
_atom_site_label
_atom_site_fract_x
_atom_site_fract_y
_atom_site_fract_z
_atom_site_occupancy
Rb1 0.0000 0.0000 0.0000 1
Rb2 0.0000 0.5000 0.0000 1
La1 0.0000 0.5000 0.5000 1
Sc1 0.0000 0.0000 0.5000 1
Te1 0.0000 0.0000 0.2365 1
Te2 0.0201 0.5101 0.2329 1
```

***

2.
Entry from Alexandria via LeMat-Bulk: a relaxed structure of NaIrI2N (PBE).

Output
Formation energy without anion corrections ... 1.97 eV/atom

The structure in CIF format:
```
data_NaIrI2N
_chemical_formula_sum 'Na1 Ir1 I2 N1'
_cell_length_a 5.451
_cell_length_b 5.451
_cell_length_c 4.046
_cell_angle_alpha 90.00
_cell_angle_beta 90.00
_cell_angle_gamma 90.00
_symmetry_space_group_name_H-M 'P 4/m m m'
_symmetry_Int_Tables_number 123
_symmetry_space_group_name_Hall '-P 4 2'
loop_
_atom_site_label
_atom_site_fract_x
_atom_site_fract_y
_atom_site_fract_z
_atom_site_occupancy
Na1 0.000 0.000 0.000 1
Ir1 0.500 0.500 0.500 1
I1 0.000 0.500 0.000 1
N1 0.000 0.000 0.500 1
```